Record 1
This record from OQMD describes crystalline Gd3Mg3HgPt2 at its relaxed geometry. The functional is PBE.

Lattice parameters (Å, degrees): 7.535 7.535 4.133 90.00 90.00 120.00
Sites, in units of the cell vectors:
Gd: 0.421 0.000 0.000
Gd: 0.000 0.421 0.000
Gd: 0.579 0.579 0.000
Hg: 0.000 0.000 0.000
Mg: 0.744 0.000 0.500
Mg: 0.256 0.256 0.500
Mg: 0.000 0.744 0.500
Pt: 0.667 0.333 0.500
Pt: 0.333 0.667 0.500

Computed properties:
Final energy   -37.742 eV for the cell shown
Symmetry   P-62m, No. 189


Record 2
This record from OQMD describes crystalline Gd3Mg3Hg2Pt at its relaxed geometry. The functional is PBE.

Lattice parameters (Å, degrees): 7.629 7.629 4.300 90.00 90.00 120.00
Sites, in units of the cell vectors:
Gd: 0.396 0.000 0.000
Gd: 0.000 0.396 0.000
Gd: 0.604 0.604 0.000
Hg: 0.667 0.333 0.500
Hg: 0.333 0.667 0.500
Mg: 0.765 0.000 0.500
Mg: 0.235 0.235 0.500
Mg: 0.000 0.765 0.500
Pt: 0.000 0.000 0.000

Computed properties:
Final energy   -30.363 eV for the cell shown
Symmetry   P-62m, No. 189


Record 3
This record from OQMD describes crystalline Gd3Mg3Zn2Hg at its relaxed geometry. The functional is PBE.

Lattice parameters (Å, degrees): 7.566 7.566 4.313 90.00 90.00 120.00
Sites, in units of the cell vectors:
Gd: 0.418 0.000 0.000
Gd: 0.000 0.418 0.000
Gd: 0.582 0.582 0.000
Hg: 0.000 0.000 0.000
Mg: 0.749 0.000 0.500
Mg: 0.251 0.251 0.500
Mg: 0.000 0.749 0.500
Zn: 0.667 0.333 0.500
Zn: 0.333 0.667 0.500

Computed properties:
Final energy   -24.215 eV for the cell shown
Symmetry   P-62m, No. 189


Record 4
This record from OQMD describes crystalline GdHgNO at its relaxed geometry. The functional is PBE.

Lattice parameters (Å, degrees): 5.062 5.062 4.621 90.00 90.00 90.00
Sites, in units of the cell vectors:
Gd: 0.000 0.000 0.500
Gd: 0.500 0.500 0.500
Hg: 0.000 0.500 0.005
Hg: 0.500 0.000 0.995
N: 0.500 0.000 0.496
N: 0.000 0.500 0.504
O: 0.000 0.000 0.000
O: 0.500 0.500 0.000

Computed properties:
ΔE to the lowest computed polymorph   0.115 eV/atom
Symmetry   P4/nmm, No. 129


Record 5
This record from OQMD describes crystalline GdHgNO at its relaxed geometry. The functional is PBE.

Lattice parameters (Å, degrees): 3.926 3.926 8.052 90.00 90.00 90.00
Sites, in units of the cell vectors:
Gd: 0.250 0.250 0.139
Gd: 0.750 0.750 0.861
Hg: 0.750 0.250 0.500
Hg: 0.250 0.750 0.500
N: 0.750 0.750 0.305
N: 0.250 0.250 0.695
O: 0.750 0.250 0.000
O: 0.250 0.750 0.000

Computed properties:
ΔE to the lowest computed polymorph   0.182 eV/atom
Symmetry   P4/nmm, No. 129


Record 6
This record from OQMD describes crystalline GdHgNO at its relaxed geometry. The functional is PBE.

Lattice parameters (Å, degrees): 3.896 6.219 6.555 90.00 90.00 90.00
Sites, in units of the cell vectors:
Gd: 0.500 0.988 0.145
Gd: 0.500 0.488 0.855
Hg: 0.000 0.568 0.444
Hg: 0.000 0.068 0.556
N: 0.000 0.863 0.297
N: 0.000 0.363 0.703
O: 0.500 0.335 0.145
O: 0.500 0.835 0.855

Computed properties:
ΔE to the lowest computed polymorph   0.049 eV/atom
Symmetry   Pmc2_1, No. 26


Record 7
This record from OQMD describes crystalline GdHgNO at its relaxed geometry. The functional is PBE.

Lattice parameters (Å, degrees): 4.025 5.674 6.129 90.00 90.00 90.00
Sites, in units of the cell vectors:
Gd: 0.000 0.486 0.297
Gd: 0.000 0.986 0.703
Hg: 0.500 0.966 0.230
Hg: 0.500 0.466 0.770
N: 0.000 0.895 0.341
N: 0.000 0.395 0.659
O: 0.500 0.407 0.170
O: 0.500 0.907 0.830

Computed properties:
ΔE to the lowest computed polymorph   0.049 eV/atom
Symmetry   Pmc2_1, No. 26


Record 8
This record from OQMD describes crystalline GdHgNO at its relaxed geometry. The functional is PBE.

Lattice parameters (Å, degrees): 6.590 7.487 6.416 90.00 90.00 90.00
Sites, in units of the cell vectors:
Gd: 0.581 0.380 0.043
Gd: 0.081 0.620 0.043
Gd: 0.919 0.380 0.543
Gd: 0.419 0.620 0.543
Hg: 0.266 0.101 0.357
Hg: 0.766 0.899 0.357
Hg: 0.234 0.101 0.857
Hg: 0.734 0.899 0.857
N: 0.453 0.109 0.095
N: 0.953 0.891 0.095
N: 0.047 0.109 0.595
N: 0.547 0.891 0.595
O: 0.868 0.438 0.207
O: 0.368 0.562 0.207
O: 0.632 0.438 0.707
O: 0.132 0.562 0.707

Computed properties:
ΔE to the lowest computed polymorph   0.000 eV/atom
Symmetry   Pca2_1, No. 29


Record 9
This record from OQMD describes crystalline NaGdHgS3 at its relaxed geometry. The functional is PBE.

Lattice parameters (Å, degrees): 7.909 4.078 10.854 90.00 108.11 90.00
Sites, in units of the cell vectors:
Gd: 0.677 0.250 0.143
Gd: 0.323 0.750 0.857
Hg: 0.941 0.750 0.379
Hg: 0.059 0.250 0.621
Na: 0.189 0.250 0.145
Na: 0.811 0.750 0.855
S: 0.437 0.750 0.125
S: 0.926 0.750 0.142
S: 0.758 0.250 0.421
S: 0.242 0.750 0.579
S: 0.074 0.250 0.858
S: 0.563 0.250 0.875

Computed properties:
ΔE to the lowest computed polymorph   0.051 eV/atom
Symmetry   P2_1/m, No. 11


Record 10
This record from OQMD describes crystalline NaGdHgS3 at its relaxed geometry. The functional is PBE.

Lattice parameters (Å, degrees): 10.709 4.119 13.339 90.00 90.00 90.00
Sites, in units of the cell vectors:
Gd: 0.609 0.250 0.248
Gd: 0.109 0.250 0.252
Gd: 0.891 0.750 0.748
Gd: 0.391 0.750 0.752
Hg: 0.863 0.750 0.127
Hg: 0.363 0.750 0.373
Hg: 0.637 0.250 0.627
Hg: 0.137 0.250 0.873
Na: 0.352 0.750 0.061
Na: 0.852 0.750 0.439
Na: 0.148 0.250 0.561
Na: 0.648 0.250 0.939
S: 0.639 0.750 0.099
S: 0.087 0.750 0.114
S: 0.359 0.250 0.209
S: 0.859 0.250 0.291
S: 0.587 0.750 0.386
S: 0.139 0.750 0.401
S: 0.861 0.250 0.599
S: 0.413 0.250 0.614
S: 0.141 0.750 0.709
S: 0.641 0.750 0.791
S: 0.913 0.250 0.886
S: 0.361 0.250 0.901

Computed properties:
ΔE to the lowest computed polymorph   0.000 eV/atom
Symmetry   Pnma, No. 62


Record 11
This record from OQMD describes crystalline NaGdHgS3 at its relaxed geometry. The functional is PBE.

Lattice parameters (Å, degrees): 6.973 6.973 10.825 90.00 90.00 33.90
Sites, in units of the cell vectors:
Gd: 0.000 0.000 0.000
Gd: 0.000 0.000 0.500
Hg: 0.455 0.455 0.250
Hg: 0.545 0.545 0.750
Na: 0.743 0.743 0.250
Na: 0.257 0.257 0.750
S: 0.362 0.362 0.051
S: 0.082 0.082 0.250
S: 0.362 0.362 0.449
S: 0.638 0.638 0.551
S: 0.918 0.918 0.750
S: 0.638 0.638 0.949

Computed properties:
ΔE to the lowest computed polymorph   0.071 eV/atom
Symmetry   Cmcm, No. 63


Record 12
This record from OQMD describes crystalline NaGdHgSe3 at its relaxed geometry. The functional is PBE.

Lattice parameters (Å, degrees): 11.167 4.184 13.863 90.00 90.00 90.00
Sites, in units of the cell vectors:
Gd: 0.014 0.250 0.242
Gd: 0.514 0.250 0.258
Gd: 0.486 0.750 0.742
Gd: 0.986 0.750 0.758
Hg: 0.262 0.750 0.215
Hg: 0.762 0.750 0.285
Hg: 0.238 0.250 0.715
Hg: 0.738 0.250 0.785
Na: 0.282 0.250 0.007
Na: 0.782 0.250 0.493
Na: 0.218 0.750 0.507
Na: 0.718 0.750 0.993
Se: 0.073 0.750 0.104
Se: 0.463 0.750 0.116
Se: 0.764 0.250 0.159
Se: 0.264 0.250 0.341
Se: 0.963 0.750 0.384
Se: 0.572 0.750 0.396
Se: 0.427 0.250 0.604
Se: 0.037 0.250 0.616
Se: 0.736 0.750 0.659
Se: 0.236 0.750 0.841
Se: 0.537 0.250 0.884
Se: 0.927 0.250 0.896

Computed properties:
ΔE to the lowest computed polymorph   0.000 eV/atom
Symmetry   Pnma, No. 62


Record 13
This record from OQMD describes crystalline NaGdHgSe3 at its relaxed geometry. The functional is PBE.

Lattice parameters (Å, degrees): 12.277 4.178 12.856 90.00 90.00 90.00
Sites, in units of the cell vectors:
Gd: 0.672 0.000 0.051
Gd: 0.172 0.500 0.449
Gd: 0.828 0.000 0.551
Gd: 0.328 0.500 0.949
Hg: 0.293 0.000 0.235
Hg: 0.793 0.500 0.265
Hg: 0.207 0.000 0.735
Hg: 0.707 0.500 0.765
Na: 0.007 0.000 0.131
Na: 0.507 0.500 0.369
Na: 0.493 0.000 0.631
Na: 0.993 0.500 0.869
Se: 0.843 0.500 0.059
Se: 0.425 0.000 0.076
Se: 0.146 0.500 0.230
Se: 0.646 0.000 0.270
Se: 0.925 0.500 0.424
Se: 0.343 0.000 0.441
Se: 0.657 0.500 0.559
Se: 0.075 0.000 0.576
Se: 0.354 0.500 0.730
Se: 0.854 0.000 0.770
Se: 0.575 0.500 0.924
Se: 0.157 0.000 0.941

Computed properties:
ΔE to the lowest computed polymorph   0.007 eV/atom
Symmetry   Pnma, No. 62


Record 14
This record from OQMD describes crystalline NaGdHgSe3 at its relaxed geometry. The functional is PBE.

Lattice parameters (Å, degrees): 8.316 4.243 17.479 90.00 90.00 90.00
Sites, in units of the cell vectors:
Gd: 0.223 0.750 0.037
Gd: 0.723 0.750 0.463
Gd: 0.277 0.250 0.537
Gd: 0.777 0.250 0.963
Hg: 0.550 0.750 0.166
Hg: 0.050 0.750 0.334
Hg: 0.950 0.250 0.666
Hg: 0.450 0.250 0.834
Na: 0.922 0.250 0.194
Na: 0.422 0.250 0.306
Na: 0.578 0.750 0.694
Na: 0.078 0.750 0.806
Se: 0.876 0.750 0.064
Se: 0.489 0.250 0.073
Se: 0.214 0.750 0.207
Se: 0.714 0.750 0.293
Se: 0.989 0.250 0.427
Se: 0.376 0.750 0.436
Se: 0.624 0.250 0.564
Se: 0.011 0.750 0.573
Se: 0.286 0.250 0.707
Se: 0.786 0.250 0.793
Se: 0.511 0.750 0.927
Se: 0.124 0.250 0.936

Computed properties:
ΔE to the lowest computed polymorph   0.042 eV/atom
Symmetry   Pnma, No. 62


Record 15
This record from OQMD describes crystalline NaGdHgSe3 at its relaxed geometry. The functional is PBE.

Lattice parameters (Å, degrees): 8.140 4.177 10.132 90.00 104.81 90.00
Sites, in units of the cell vectors:
Gd: 0.681 0.250 0.142
Gd: 0.319 0.750 0.858
Hg: 0.905 0.750 0.392
Hg: 0.095 0.250 0.608
Na: 0.225 0.250 0.238
Na: 0.775 0.750 0.762
Se: 0.934 0.750 0.139
Se: 0.439 0.750 0.148
Se: 0.732 0.250 0.457
Se: 0.268 0.750 0.543
Se: 0.561 0.250 0.852
Se: 0.066 0.250 0.861

Computed properties:
ΔE to the lowest computed polymorph   0.002 eV/atom
Symmetry   P2_1/m, No. 11


Record 16
This record from OQMD describes crystalline NaGdHgSe3 at its relaxed geometry. The functional is PBE.

Lattice parameters (Å, degrees): 9.375 9.375 8.942 104.35 104.35 25.51
Sites, in units of the cell vectors:
Gd: 0.177 0.177 0.097
Gd: 0.823 0.823 0.903
Hg: 0.528 0.528 0.225
Hg: 0.472 0.472 0.775
Na: 0.871 0.871 0.420
Na: 0.129 0.129 0.580
Se: 0.000 0.000 0.000
Se: 0.335 0.335 0.134
Se: 0.681 0.681 0.326
Se: 0.500 0.500 0.500
Se: 0.319 0.319 0.674
Se: 0.665 0.665 0.866

Computed properties:
ΔE to the lowest computed polymorph   0.040 eV/atom
Symmetry   C2/m, No. 12


Record 17
This record from OQMD describes crystalline NaGdHgSe3 at its relaxed geometry. The functional is PBE.

Lattice parameters (Å, degrees): 13.930 4.200 11.391 90.00 90.00 90.00
Sites, in units of the cell vectors:
Gd: 0.980 0.750 0.155
Gd: 0.480 0.750 0.345
Gd: 0.520 0.250 0.655
Gd: 0.020 0.250 0.845
Hg: 0.492 0.250 0.104
Hg: 0.992 0.250 0.396
Hg: 0.008 0.750 0.604
Hg: 0.508 0.750 0.896
Na: 0.260 0.750 0.086
Na: 0.760 0.750 0.414
Na: 0.240 0.250 0.586
Na: 0.740 0.250 0.914
Se: 0.106 0.250 0.072
Se: 0.612 0.750 0.123
Se: 0.851 0.250 0.242
Se: 0.351 0.250 0.258
Se: 0.112 0.750 0.377
Se: 0.606 0.250 0.428
Se: 0.394 0.750 0.572
Se: 0.888 0.250 0.623
Se: 0.649 0.750 0.742
Se: 0.149 0.750 0.758
Se: 0.388 0.250 0.877
Se: 0.894 0.750 0.928

Computed properties:
ΔE to the lowest computed polymorph   0.000 eV/atom
Symmetry   Pnma, No. 62


Record 18
This record from OQMD describes crystalline NaGdHgSe3 at its relaxed geometry. The functional is PBE.

Lattice parameters (Å, degrees): 4.182 7.257 11.145 90.00 90.00 73.25
Sites, in units of the cell vectors:
Gd: 0.000 0.000 0.000
Gd: 0.000 0.000 0.500
Hg: 0.538 0.924 0.250
Hg: 0.462 0.076 0.750
Na: 0.244 0.512 0.250
Na: 0.756 0.488 0.750
Se: 0.641 0.718 0.053
Se: 0.911 0.178 0.250
Se: 0.641 0.718 0.447
Se: 0.359 0.282 0.553
Se: 0.089 0.822 0.750
Se: 0.359 0.282 0.947

Computed properties:
ΔE to the lowest computed polymorph   0.000 eV/atom
Symmetry   Cmcm, No. 63


| no. | M_tot (μB per formula unit) |
| --- | --- |
| 1 | 0.014 |
| 2 | 0.447 |
| 3 | 0.147 |
| 4 | 0.001 |
| 5 | 0.003 |
| 6 | 0.000 |
| 7 | 0.000 |
| 8 | 0.001 |
| 9 | 0.001 |
| 10 | 0.002 |
| 11 | 0.010 |
| 12 | 0.009 |
| 13 | 0.002 |
| 14 | 0.001 |
| 15 | 0.001 |
| 16 | 0.000 |
| 17 | 0.004 |
| 18 | 0.006 |